11
Lattice="-5.528 -1.633 4.626 0.519 -3.466 -6.508 2.293 -2.887 1.720" Properties=species:S:1:pos:R:3 comment="AcGa4Pd6, relaxed, DFT PBE" e_tot_ry_per_atom=-0.3720 vol_a3_per_cell=192 pbc="T T T"
Ac 0.000 0.000 0.000
Ga -1.497 -2.855 -2.796
Ga -1.005 -2.818 1.421
Ga -3.147 -3.451 3.213
Ga -2.946 -4.793 0.692
Pd -2.915 -1.104 2.031
Pd -2.708 -2.488 -0.567
Pd -4.915 -3.140 1.280
Pd 0.242 -3.169 -0.830
Pd 0.447 -4.540 -3.405
Pd -1.740 -5.186 -1.574

---

20
Lattice="-3.042 5.269 0.000 6.084 0.000 0.000 3.042 -1.756 -11.956" Properties=species:S:1:pos:R:3 comment="HoAl3, relaxed, DFT PBE" e_tot_ry_per_atom=-0.3218 vol_a3_per_cell=383 pbc="T T T"
Al -1.521 2.634 0.000
Al 1.521 2.634 0.000
Al 3.042 0.000 0.000
Al -1.373 4.305 -2.374
Al 0.000 1.928 -2.374
Al 1.373 4.305 -2.374
Al 1.504 2.644 -4.798
Al 3.042 -0.019 -4.798
Al 4.580 2.644 -4.798
Al 1.504 0.869 -7.158
Al 4.580 0.869 -7.158
Al 3.042 3.532 -7.158
Al 4.711 -0.793 -9.582
Al 7.457 -0.793 -9.582
Al 6.084 1.585 -9.582
Ho 0.000 0.000 0.000
Ho 3.042 1.756 -2.392
Ho 6.084 0.000 -4.703
Ho 0.000 3.513 -7.253
Ho 3.042 1.756 -9.564

---

12
Lattice="10.105 -2.224 0.000 10.105 2.224 0.000 -1.956 0.000 8.592" Properties=species:S:1:pos:R:3 comment="SrNdCuTe3, relaxed, DFT PBE" e_tot_ry_per_atom=-0.3224 vol_a3_per_cell=386 pbc="T T T"
Cu 8.615 0.000 2.511
Cu 9.640 0.000 6.081
Nd 16.140 0.000 3.551
Nd 2.115 0.000 5.042
Sr 2.306 0.000 0.594
Sr 15.949 0.000 7.999
Te 10.105 0.000 0.000
Te 6.246 0.000 1.358
Te 12.974 0.000 2.968
Te -0.978 0.000 4.296
Te 5.281 0.000 5.625
Te 12.009 0.000 7.234

---

14
Lattice="5.750 0.000 0.000 0.000 5.750 0.000 0.000 0.000 8.549" Properties=species:S:1:pos:R:3 comment="Rb2AgH4, relaxed, DFT PBE" e_tot_ry_per_atom=-0.1880 vol_a3_per_cell=283 pbc="T T T"
Ag 0.000 0.000 0.000
Ag 2.875 2.875 4.274
H 1.265 1.265 0.000
H 4.485 4.485 0.000
H 0.000 0.000 1.775
H 2.875 2.875 2.499
H 4.140 1.610 4.274
H 1.610 4.140 4.274
H 2.875 2.875 6.050
H 0.000 0.000 6.773
Rb 2.875 0.000 2.137
Rb 0.000 2.875 2.137
Rb 2.875 0.000 6.412
Rb 0.000 2.875 6.412

---

8
Lattice="2.682 -4.645 0.000 2.682 4.645 0.000 0.000 0.000 10.558" Properties=species:S:1:pos:R:3 comment="La2TlCd, relaxed, DFT PBE" e_tot_ry_per_atom=-0.2470 vol_a3_per_cell=263 pbc="T T T"
Cd 2.682 1.548 2.639
Cd 2.682 -1.548 7.918
La 2.682 -1.548 1.114
La 2.682 -1.548 4.165
La 2.682 1.548 6.392
La 2.682 1.548 9.444
Tl 0.000 0.000 0.000
Tl 0.000 0.000 5.279

---

2
Lattice="3.873 0.000 0.000 -1.936 3.353 0.000 0.000 0.000 3.767" Properties=species:S:1:pos:R:3 comment="NpAs, relaxed, DFT PBE" e_tot_ry_per_atom=-0.6799 vol_a3_per_cell=49 pbc="T T T"
As 1.936 1.118 2.825
Np 0.000 2.235 0.942

---

12
Lattice="7.725 0.000 0.000 0.000 3.971 0.000 -2.756 0.000 9.419" Properties=species:S:1:pos:R:3 comment="LuCuSnSe3, relaxed, DFT PBE" e_tot_ry_per_atom=-0.3454 vol_a3_per_cell=289 pbc="T T T"
Cu 4.221 0.993 0.817
Cu 0.748 2.978 8.602
Lu 5.306 2.978 3.193
Lu -0.336 0.993 6.226
Se 5.755 2.978 0.421
Se 3.339 0.993 3.127
Se -0.430 0.993 3.401
Se 5.399 2.978 6.018
Se 1.630 2.978 6.293
Se -0.786 0.993 8.998
Sn 1.399 2.978 1.850
Sn 3.570 0.993 7.569

---

16
Lattice="0.480 -0.469 8.601 4.291 5.773 4.764 -5.810 -0.367 -6.367" Properties=species:S:1:pos:R:3 comment="CsBa2Ir2F11, relaxed, DFT PBE" e_tot_ry_per_atom=-0.3770 vol_a3_per_cell=258 pbc="T T T"
Ba -1.472 0.908 4.459
Ba 0.433 4.029 2.540
Cs 0.000 0.000 0.000
F 0.829 0.433 5.854
F 1.137 1.264 3.185
F 2.087 1.832 9.379
F 2.386 2.652 6.683
F 2.684 3.472 3.986
F 3.634 4.040 10.181
F 3.942 4.870 7.511
F 0.089 3.065 5.074
F 1.347 4.464 8.599
F -2.387 0.473 -1.600
F -1.129 1.872 1.925
Ir 1.765 1.962 4.943
Ir 3.006 3.342 8.422

---

Please write out number 6 again, unchanged.
2
Lattice="3.873 0.000 0.000 -1.936 3.353 0.000 0.000 0.000 3.767" Properties=species:S:1:pos:R:3 comment="NpAs, relaxed, DFT PBE" e_tot_ry_per_atom=-0.6799 vol_a3_per_cell=49 pbc="T T T"
As 1.936 1.118 2.825
Np 0.000 2.235 0.942

---

Repeat the fifth record exactly.
8
Lattice="2.682 -4.645 0.000 2.682 4.645 0.000 0.000 0.000 10.558" Properties=species:S:1:pos:R:3 comment="La2TlCd, relaxed, DFT PBE" e_tot_ry_per_atom=-0.2470 vol_a3_per_cell=263 pbc="T T T"
Cd 2.682 1.548 2.639
Cd 2.682 -1.548 7.918
La 2.682 -1.548 1.114
La 2.682 -1.548 4.165
La 2.682 1.548 6.392
La 2.682 1.548 9.444
Tl 0.000 0.000 0.000
Tl 0.000 0.000 5.279